1.
TlBiPd3 after structural relaxation. Source: Alexandria via LeMat-Bulk, functional PBE.

The value obtained for the mass density is 11.9 g cm⁻³. For the energy of formation from the pure elements, the calculation gives -0.227 eV per atom. Its total energy is -4.59 eV per atom.

a = 4.527 Å, b = 5.776 Å, c = 7.808 Å
α = 90.00°, β = 90.04°, γ = 90.00°
Fractional positions:
Pd 0.750 0.993 0.750
Pd 0.250 0.750 0.592
Tl 0.250 0.750 0.946
Pd 0.750 0.250 0.408
Tl 0.750 0.250 0.054
Pd 0.750 0.507 0.750
Pd 0.250 0.007 0.250
Bi 0.750 0.750 0.380
Pd 0.250 0.493 0.250
Bi 0.250 0.250 0.620

2.
TlBiPd2 after structural relaxation. Source: Alexandria via LeMat-Bulk, functional PBE.

The value obtained for the mass density is 11.5 g cm⁻³. For the energy of formation from the pure elements, the calculation gives -0.234 eV per atom. Its total energy is -4.39 eV per atom.

a = 5.718 Å, b = 7.292 Å, c = 17.374 Å
α = 90.00°, β = 90.00°, γ = 90.00°
Fractional positions:
Bi 0.250 0.086 0.436
Pd 0.000 0.250 0.313
Pd 0.500 0.750 0.187
Bi 0.250 0.586 0.564
Pd 0.500 0.250 0.313
Pd 0.000 0.250 0.561
Pd 0.500 0.250 0.061
Tl 0.250 0.592 0.812
Pd 0.500 0.750 0.939
Tl 0.250 0.592 0.312
Pd 0.000 0.250 0.813
Pd 0.500 0.750 0.439
Bi 0.750 0.914 0.564
Pd 0.000 0.250 0.061
Tl 0.750 0.908 0.312
Tl 0.250 0.092 0.688
Tl 0.250 0.092 0.188
Pd 0.500 0.250 0.561
Tl 0.750 0.408 0.688
Pd 0.000 0.750 0.687
Tl 0.750 0.408 0.188
Pd 0.000 0.750 0.939
Bi 0.250 0.086 0.936
Bi 0.750 0.414 0.436
Pd 0.000 0.750 0.187
Bi 0.750 0.414 0.936
Pd 0.000 0.750 0.439
Pd 0.500 0.250 0.813
Tl 0.750 0.908 0.812
Pd 0.500 0.750 0.687
Bi 0.250 0.586 0.064
Bi 0.750 0.914 0.064

3.
TlBiPd after structural relaxation. Source: Alexandria via LeMat-Bulk, functional PBE.

The value obtained for the mass density is 11.5 g cm⁻³. For the energy of formation from the pure elements, the calculation gives -0.124 eV per atom. Its total energy is -3.94 eV per atom.

a = 3.336 Å, b = 6.953 Å, c = 7.065 Å
α = 103.79°, β = 108.93°, γ = 89.70°
Fractional positions:
Pd 0.946 0.829 0.653
Pd 0.932 0.275 0.636
Tl 0.609 0.615 0.913
Bi 0.626 0.128 0.923
Tl 0.268 0.489 0.376
Bi 0.252 0.976 0.365

4.
TlBi3Pd7 after structural relaxation. Source: Alexandria via LeMat-Bulk, functional PBE.

The value obtained for the mass density is 12.1 g cm⁻³. For the energy of formation from the pure elements, the calculation gives -0.191 eV per atom. Its total energy is -4.77 eV per atom.

a = 3.729 Å, b = 10.799 Å, c = 10.919 Å
α = 90.00°, β = 90.00°, γ = 99.94°
Fractional positions:
Bi 0.083 0.166 0.432
Pd 0.212 0.425 0.430
Bi 0.917 0.834 0.568
Pd 0.788 0.575 0.570
Pd 0.212 0.425 0.070
Bi 0.242 0.483 0.750
Pd 0.513 0.026 0.876
Bi 0.083 0.166 0.068
Tl 0.914 0.827 0.250
Bi 0.917 0.834 0.932
Tl 0.086 0.173 0.750
Pd 0.346 0.691 0.102
Pd 0.654 0.309 0.602
Pd 0.654 0.309 0.898
Pd 0.346 0.691 0.398
Pd 0.513 0.026 0.624
Pd 0.487 0.974 0.376
Pd 0.372 0.745 0.750
Pd 0.788 0.575 0.930
Pd 0.487 0.974 0.124
Bi 0.758 0.517 0.250
Pd 0.628 0.255 0.250

5.
Tl3BiPd4 after structural relaxation. Source: Alexandria via LeMat-Bulk, functional PBE.

The value obtained for the mass density is 10.8 g cm⁻³. For the energy of formation from the pure elements, the calculation gives -0.051 eV per atom. Its total energy is -4.02 eV per atom.

a = 6.660 Å, b = 6.660 Å, c = 6.660 Å
α = 84.65°, β = 115.59°, γ = 131.40°
Fractional positions:
Bi 0.102 0.500 0.602
Tl 0.904 0.000 0.904
Tl 0.597 0.270 0.867
Pd 0.207 0.762 0.969
Pd 0.207 0.238 0.445
Tl 0.597 0.730 0.327
Pd 0.020 0.752 0.268
Pd 0.516 0.248 0.268

6.
Tl3BiPd7 after structural relaxation. Source: Alexandria via LeMat-Bulk, functional PBE.

The value obtained for the mass density is 11.7 g cm⁻³. For the energy of formation from the pure elements, the calculation gives -0.071 eV per atom. Its total energy is -4.37 eV per atom.

a = 5.565 Å, b = 7.385 Å, c = 7.385 Å
α = 82.78°, β = 120.48°, γ = 120.48°
Fractional positions:
Pd 0.335 0.070 0.583
Tl 0.000 0.778 0.222
Pd 0.665 0.930 0.417
Tl 0.500 0.000 0.000
Tl 0.000 0.222 0.778
Pd 0.372 0.203 0.203
Bi 0.500 0.500 0.500
Pd 0.665 0.417 0.930
Pd 0.335 0.583 0.070
Pd 0.000 0.500 0.500
Pd 0.628 0.797 0.797